Crystalline VFeSnF6 at its relaxed geometry, computed with PBE+U.

Calculated total energy ... -98.463 eV/cell
Mass density ... 4.1 g cm⁻³
Space group ... P-31c

a = 5.559 Å, b = 5.559 Å, c = 10.224 Å
α = 90.00°, β = 90.00°, γ = 120.00°
Atoms (fractional coordinates):
1 V 0.667 0.333 0.250
2 V 0.333 0.667 0.750
3 Fe 0.333 0.667 0.250
4 Fe 0.667 0.333 0.750
5 Sn 0.000 0.000 0.000
6 Sn 0.000 0.000 0.500
7 F 0.643 0.646 0.140
8 F 0.003 0.357 0.140
9 F 0.357 0.003 0.640
10 F 0.997 0.643 0.860
11 F 0.354 0.357 0.360
12 F 0.003 0.646 0.360
13 F 0.646 0.003 0.860
14 F 0.643 0.997 0.360
15 F 0.997 0.354 0.640
16 F 0.354 0.997 0.140
17 F 0.646 0.643 0.640
18 F 0.357 0.354 0.860